Here is MgTl2W after structural relaxation from Alexandria. Energies are from PBEsol.

Values from the calculation:
* energy relative to the lowest polymorph listed for this composition: 120.0 meV/atom
* calculated formation energy: 0.693 eV/atom
* total magnetic moment: 0.001 μB/cell

CIF file:
```
data_MgTl2W
_chemical_formula_sum 'Mg1 Tl2 W1'
_cell_length_a 3.077
_cell_length_b 4.456
_cell_length_c 5.971
_cell_angle_alpha 90.00
_cell_angle_beta 90.00
_cell_angle_gamma 90.00
_symmetry_space_group_name_H-M 'P m m 2'
_symmetry_Int_Tables_number 25
loop_
_symmetry_equiv_pos_as_xyz
'x,y,z'
'-x,-y,z'
'-x,y,z'
'x,-y,z'
loop_
_atom_site_label
_atom_site_type_symbol
_atom_site_fract_x
_atom_site_fract_y
_atom_site_fract_z
Mg1 Mg 0.000 0.000 0.000
Tl1 Tl 0.000 0.000 0.543
Tl2 Tl 0.500 0.500 0.242
W1 W 0.500 0.500 0.761
```

=====

Here is MgTl2W after structural relaxation from Alexandria. Energies are from PBEsol.

Values from the calculation:
* energy relative to the lowest polymorph listed for this composition: 83.1 meV/atom
* calculated formation energy: 0.656 eV/atom
* total magnetic moment: 0.002 μB/cell

CIF file:
```
data_MgTl2W
_chemical_formula_sum 'Mg2 Tl4 W2'
_cell_length_a 4.019
_cell_length_b 4.113
_cell_length_c 9.534
_cell_angle_alpha 90.00
_cell_angle_beta 90.00
_cell_angle_gamma 90.00
_symmetry_space_group_name_H-M 'I m m 2'
_symmetry_Int_Tables_number 44
loop_
_symmetry_equiv_pos_as_xyz
'x,y,z'
'-x,-y,z'
'-x,y,z'
'x,-y,z'
'x+1/2,y+1/2,z+1/2'
'-x+1/2,-y+1/2,z+1/2'
'-x+1/2,y+1/2,z+1/2'
'x+1/2,-y+1/2,z+1/2'
loop_
_atom_site_label
_atom_site_type_symbol
_atom_site_fract_x
_atom_site_fract_y
_atom_site_fract_z
Mg1 Mg 0.000 0.000 0.000
Tl1 Tl 0.000 0.000 0.503
Tl2 Tl 0.000 0.500 0.751
W1 W 0.000 0.500 0.251
```

=====

Here is MgTl2W after structural relaxation from Alexandria. Energies are from PBEsol.

Values from the calculation:
* energy relative to the lowest polymorph listed for this composition: 148.2 meV/atom
* calculated formation energy: 0.721 eV/atom
* total magnetic moment: 0.002 μB/cell

CIF file:
```
data_MgTl2W
_chemical_formula_sum 'Mg2 Tl4 W2'
_cell_length_a 6.157
_cell_length_b 8.476
_cell_length_c 3.042
_cell_angle_alpha 90.00
_cell_angle_beta 90.00
_cell_angle_gamma 90.00
_symmetry_space_group_name_H-M 'C m m m'
_symmetry_Int_Tables_number 65
_symmetry_space_group_name_Hall '-C 2 2'
loop_
_atom_site_label
_atom_site_type_symbol
_atom_site_fract_x
_atom_site_fract_y
_atom_site_fract_z
Mg1 Mg 0.000 0.000 0.000
Tl1 Tl 0.250 0.250 0.500
W1 W 0.000 0.500 0.000
```